A plane-wave DFT calculation with PBE-GGA was carried out for a geometry-optimized NaMoAs structure.

Lattice parameters (Å, degrees): 3.953 3.953 7.599 90.00 90.00 90.00
Fractional coordinates of all 6 atoms:
Mo 0.500 0.500 0.500
Mo 0.000 0.000 0.500
As 0.000 0.500 0.273
As 0.500 0.000 0.727
Na 0.500 0.000 0.141
Na 0.000 0.500 0.859

Properties
DFT formation energy ... -27 kJ/mol of atoms
Calculated volume ... 19.79 Å³/atom

A plane-wave DFT calculation with PBE-GGA was carried out for a geometry-optimized Na3MoAs structure.

Lattice parameters (Å, degrees): 5.555 5.555 5.555 90.00 90.00 90.00
Site moments in Bohr magnetons follow the coordinates.
Fractional coordinates of all 5 atoms:
Na 0.000 0.500 0.000  0.00
Na 0.500 0.000 0.000  0.00
Na 0.000 0.000 0.500  0.00
Mo 0.500 0.500 0.500  4.11
As 0.000 0.000 0.000  0.14

Properties
DFT formation energy ... 80 kJ/mol of atoms
Calculated volume ... 34.27 Å³/atom

A plane-wave DFT calculation with PBE-GGA was carried out for a geometry-optimized NaMoAs structure.

Lattice parameters (Å, degrees): 3.350 4.800 4.552 90.00 111.66 90.00
Fractional coordinates of all 3 atoms:
Na 0.384 0.500 0.173
Mo 0.069 0.000 0.543
As 0.780 0.000 0.962

Properties
DFT formation energy ... 41 kJ/mol of atoms
Calculated volume ... 22.68 Å³/atom

A plane-wave DFT calculation with PBE-GGA was carried out for a geometry-optimized Na3MoAs structure.

Lattice parameters (Å, degrees): 5.715 5.715 5.715 90.00 90.00 90.00
Site moments in Bohr magnetons follow the coordinates.
Fractional coordinates of all 5 atoms:
Mo 0.000 0.000 0.000  3.89
Na 0.000 0.500 0.000  0.02
Na 0.500 0.000 0.000  0.02
Na 0.000 0.000 0.500  0.01
As 0.500 0.500 0.500  0.44

Properties
DFT formation energy ... 133 kJ/mol of atoms
Calculated volume ... 37.32 Å³/atom

The lowest DFT formation energy belongs to which entry?
number 1